Record 1
The following is a PBEsol calculation of an optimized crystal structure of NaSrTl2, from Alexandria via LeMat-Bulk. Values from VASP.

Summary:
theoretical density	7412	kg/m3
formation energy	-0.286	eV per atom
size of the total moment	0.00	μB per cell

```
&SYSTEM
  ibrav = 0, nat = 4, ntyp = 3
/
ATOMIC_SPECIES
Na 22.99 Na.upf
Sr 87.62 Sr.upf
Tl 204.38 Tl.upf
CELL_PARAMETERS angstrom
0.000 3.875 3.875
3.875 0.000 3.875
3.875 3.875 0.000
ATOMIC_POSITIONS crystal
Na 0.000 0.000 0.000
Sr 0.500 0.500 0.500
Tl 0.250 0.250 0.250
Tl 0.750 0.750 0.750
```



Record 2
The following is a PBEsol calculation of an optimized crystal structure of Na2SrTl2, from Alexandria via LeMat-Bulk. Values from VASP.

Summary:
theoretical density	5834	kg/m3
formation energy	-0.177	eV per atom
size of the total moment	0.00	μB per cell

```
&SYSTEM
  ibrav = 0, nat = 5, ntyp = 3
/
ATOMIC_SPECIES
Na 22.99 Na.upf
Sr 87.62 Sr.upf
Tl 204.38 Tl.upf
CELL_PARAMETERS angstrom
-2.236 2.236 7.717
2.236 -2.236 7.717
2.236 2.236 -7.717
ATOMIC_POSITIONS crystal
Na 0.250 0.750 0.500
Na 0.750 0.250 0.500
Sr 0.000 0.000 0.000
Tl 0.399 0.399 0.000
Tl 0.601 0.601 0.000
```



Record 3
The following is a PBEsol calculation of an optimized crystal structure of NaSrY3, from Alexandria via LeMat-Bulk. Values from VASP.

Summary:
theoretical density	3342	kg/m3
formation energy	1.040	eV per atom
size of the total moment	0.00	μB per cell

```
&SYSTEM
  ibrav = 0, nat = 5, ntyp = 3
/
ATOMIC_SPECIES
Na 22.99 Na.upf
Sr 87.62 Sr.upf
Y 88.91 Y.upf
CELL_PARAMETERS angstrom
5.723 0.000 0.000
0.000 5.723 0.000
0.000 0.000 5.723
ATOMIC_POSITIONS crystal
Na 0.000 0.000 0.000
Sr 0.500 0.500 0.500
Y 0.000 0.500 0.500
Y 0.500 0.000 0.500
Y 0.500 0.500 0.000
```



Record 4
The following is a PBEsol calculation of an optimized crystal structure of Na3SrY, from Alexandria via LeMat-Bulk. Values from VASP.

Summary:
theoretical density	1734	kg/m3
formation energy	0.754	eV per atom
size of the total moment	0.00	μB per cell

```
&SYSTEM
  ibrav = 0, nat = 5, ntyp = 3
/
ATOMIC_SPECIES
Na 22.99 Na.upf
Sr 87.62 Sr.upf
Y 88.91 Y.upf
CELL_PARAMETERS angstrom
6.172 0.000 0.000
0.000 6.172 0.000
0.000 0.000 6.172
ATOMIC_POSITIONS crystal
Na 0.000 0.000 0.500
Na 0.000 0.500 0.000
Na 0.500 0.000 0.000
Sr 0.500 0.500 0.500
Y 0.000 0.000 0.000
```



Record 5
The following is a PBEsol calculation of an optimized crystal structure of Na2SrY, from Alexandria via LeMat-Bulk. Values from VASP.

Summary:
theoretical density	2501	kg/m3
formation energy	0.318	eV per atom
size of the total moment	0.00	μB per cell

```
&SYSTEM
  ibrav = 0, nat = 4, ntyp = 3
/
ATOMIC_SPECIES
Na 22.99 Na.upf
Sr 87.62 Sr.upf
Y 88.91 Y.upf
CELL_PARAMETERS angstrom
0.000 4.196 4.196
4.196 0.000 4.196
4.196 4.196 0.000
ATOMIC_POSITIONS crystal
Na 0.250 0.250 0.250
Na 0.750 0.750 0.750
Sr 0.000 0.000 0.000
Y 0.500 0.500 0.500
```



Record 6
The following is a PBEsol calculation of an optimized crystal structure of NaTa3Te, from Alexandria via LeMat-Bulk. Values from VASP.

Summary:
theoretical density	11183	kg/m3
energy	-6.25	eV per atom
size of the total moment	0.00	μB per cell

```
&SYSTEM
  ibrav = 0, nat = 5, ntyp = 3
/
ATOMIC_SPECIES
Na 22.99 Na.upf
Ta 180.95 Ta.upf
Te 127.60 Te.upf
CELL_PARAMETERS angstrom
4.687 0.000 0.000
0.000 4.687 0.000
0.000 0.000 4.687
ATOMIC_POSITIONS crystal
Na 0.000 0.000 0.000
Ta 0.000 0.000 0.500
Ta 0.000 0.500 0.000
Ta 0.500 0.000 0.000
Te 0.500 0.500 0.500
```



Record 7
The following is a PBEsol calculation of an optimized crystal structure of Na2TaTi, from Alexandria via LeMat-Bulk. Values from VASP.

Summary:
theoretical density	5755	kg/m3
formation energy	1.507	eV per atom
size of the total moment	0.02	μB per cell

```
&SYSTEM
  ibrav = 0, nat = 4, ntyp = 3
/
ATOMIC_SPECIES
Na 22.99 Na.upf
Ta 180.95 Ta.upf
Ti 47.87 Ti.upf
CELL_PARAMETERS angstrom
0.000 3.410 3.410
3.410 0.000 3.410
3.410 3.410 0.000
ATOMIC_POSITIONS crystal
Na 0.250 0.250 0.250
Na 0.750 0.750 0.750
Ta 0.000 0.000 0.000
Ti 0.500 0.500 0.500
```



Record 8
The following is a PBEsol calculation of an optimized crystal structure of Na2TaW, from Alexandria via LeMat-Bulk. Values from VASP.

Summary:
theoretical density	9293	kg/m3
formation energy	2.051	eV per atom
size of the total moment	0.85	μB per cell

```
&SYSTEM
  ibrav = 0, nat = 4, ntyp = 3
/
ATOMIC_SPECIES
Na 22.99 Na.upf
Ta 180.95 Ta.upf
W 183.84 W.upf
CELL_PARAMETERS angstrom
0.000 3.323 3.323
3.323 0.000 3.323
3.323 3.323 0.000
ATOMIC_POSITIONS crystal
Na 0.250 0.250 0.250
Na 0.750 0.750 0.750
Ta 0.000 0.000 0.000
W 0.500 0.500 0.500
```



Record 9
The following is a PBEsol calculation of an optimized crystal structure of NaTb3, from Alexandria via LeMat-Bulk. Values from VASP.

Summary:
theoretical density	6874	kg/m3
formation energy	0.326	eV per atom
size of the total moment	0.00	μB per cell

```
&SYSTEM
  ibrav = 0, nat = 4, ntyp = 2
/
ATOMIC_SPECIES
Na 22.99 Na.upf
Tb 158.93 Tb.upf
CELL_PARAMETERS angstrom
0.000 3.923 3.923
3.923 0.000 3.923
3.923 3.923 0.000
ATOMIC_POSITIONS crystal
Na 0.000 0.000 0.000
Tb 0.250 0.250 0.250
Tb 0.500 0.500 0.500
Tb 0.750 0.750 0.750
```



Record 10
The following is a PBEsol calculation of an optimized crystal structure of NaTlTc2, from Alexandria via LeMat-Bulk. Values from VASP.

Summary:
theoretical density	10063	kg/m3
formation energy	1.231	eV per atom
size of the total moment	4.03	μB per cell

```
&SYSTEM
  ibrav = 0, nat = 4, ntyp = 3
/
ATOMIC_SPECIES
Na 22.99 Na.upf
Tl 204.38 Tl.upf
Tc 98.00 Tc.upf
CELL_PARAMETERS angstrom
0.000 3.269 3.269
3.269 0.000 3.269
3.269 3.269 0.000
ATOMIC_POSITIONS crystal
Na 0.000 0.000 0.000
Tl 0.500 0.500 0.500
Tc 0.250 0.250 0.250
Tc 0.750 0.750 0.750
```



Record 11
The following is a PBEsol calculation of an optimized crystal structure of NaTe, from Alexandria via LeMat-Bulk. Values from VASP.

Summary:
theoretical density	4265	kg/m3
energy	-3.15	eV per atom
size of the total moment	0.00	μB per cell

```
&SYSTEM
  ibrav = 0, nat = 48, ntyp = 2
/
ATOMIC_SPECIES
Na 22.99 Na.upf
Te 127.60 Te.upf
CELL_PARAMETERS angstrom
15.739 0.000 0.000
0.000 9.972 0.000
0.000 0.000 8.965
ATOMIC_POSITIONS crystal
Na 0.029 0.181 0.061
Na 0.029 0.819 0.561
Na 0.113 0.327 0.743
Na 0.113 0.673 0.243
Na 0.190 0.015 0.276
Na 0.190 0.985 0.776
Na 0.310 0.485 0.776
Na 0.310 0.515 0.276
Na 0.387 0.173 0.243
Na 0.387 0.827 0.743
Na 0.471 0.319 0.561
Na 0.471 0.681 0.061
Na 0.529 0.319 0.939
Na 0.529 0.681 0.439
Na 0.613 0.173 0.257
Na 0.613 0.827 0.757
Na 0.690 0.485 0.724
Na 0.690 0.515 0.224
Na 0.810 0.015 0.224
Na 0.810 0.985 0.724
Na 0.887 0.327 0.757
Na 0.887 0.673 0.257
Na 0.971 0.181 0.439
Na 0.971 0.819 0.939
Te 0.000 0.072 0.750
Te 0.000 0.500 0.000
Te 0.000 0.500 0.500
Te 0.000 0.928 0.250
Te 0.133 0.361 0.303
Te 0.133 0.639 0.803
Te 0.246 0.248 0.012
Te 0.246 0.752 0.512
Te 0.254 0.252 0.512
Te 0.254 0.748 0.012
Te 0.367 0.139 0.803
Te 0.367 0.861 0.303
Te 0.500 0.000 0.000
Te 0.500 0.000 0.500
Te 0.500 0.428 0.250
Te 0.500 0.572 0.750
Te 0.633 0.139 0.697
Te 0.633 0.861 0.197
Te 0.746 0.252 0.988
Te 0.746 0.748 0.488
Te 0.754 0.248 0.488
Te 0.754 0.752 0.988
Te 0.867 0.361 0.197
Te 0.867 0.639 0.697
```



Record 12
The following is a PBEsol calculation of an optimized crystal structure of NaTe3, from Alexandria via LeMat-Bulk. Values from VASP.

Summary:
theoretical density	5438	kg/m3
energy	-3.36	eV per atom
size of the total moment	0.00	μB per cell

```
&SYSTEM
  ibrav = 0, nat = 48, ntyp = 2
/
ATOMIC_SPECIES
Na 22.99 Na.upf
Te 127.60 Te.upf
CELL_PARAMETERS angstrom
8.883 0.000 0.000
-4.441 7.693 0.000
0.000 0.000 21.761
ATOMIC_POSITIONS crystal
Na 0.000 0.000 0.125
Na 0.000 0.000 0.375
Na 0.000 0.000 0.625
Na 0.000 0.000 0.875
Na 0.333 0.667 0.208
Na 0.333 0.667 0.459
Na 0.333 0.667 0.708
Na 0.333 0.667 0.959
Na 0.667 0.333 0.041
Na 0.667 0.333 0.292
Na 0.667 0.333 0.541
Na 0.667 0.333 0.792
Te 0.006 0.486 0.123
Te 0.006 0.520 0.623
Te 0.140 0.336 0.293
Te 0.140 0.804 0.793
Te 0.161 0.331 0.041
Te 0.161 0.831 0.541
Te 0.169 0.331 0.541
Te 0.169 0.839 0.041
Te 0.196 0.336 0.793
Te 0.196 0.860 0.293
Te 0.331 0.161 0.459
Te 0.331 0.169 0.959
Te 0.336 0.140 0.207
Te 0.336 0.196 0.707
Te 0.480 0.486 0.623
Te 0.480 0.994 0.123
Te 0.486 0.006 0.377
Te 0.486 0.480 0.877
Te 0.514 0.520 0.123
Te 0.514 0.994 0.623
Te 0.520 0.006 0.877
Te 0.520 0.514 0.377
Te 0.664 0.804 0.293
Te 0.664 0.860 0.793
Te 0.669 0.831 0.041
Te 0.669 0.839 0.541
Te 0.804 0.140 0.707
Te 0.804 0.664 0.207
Te 0.831 0.161 0.959
Te 0.831 0.669 0.459
Te 0.839 0.169 0.459
Te 0.839 0.669 0.959
Te 0.860 0.196 0.207
Te 0.860 0.664 0.707
Te 0.994 0.480 0.377
Te 0.994 0.514 0.877
```



Record 13
The following is a PBEsol calculation of an optimized crystal structure of Na2Te, from Alexandria via LeMat-Bulk. Values from VASP.

Summary:
theoretical density	3028	kg/m3
energy	-3.01	eV per atom
size of the total moment	0.00	μB per cell

```
&SYSTEM
  ibrav = 0, nat = 3, ntyp = 2
/
ATOMIC_SPECIES
Na 22.99 Na.upf
Te 127.60 Te.upf
CELL_PARAMETERS angstrom
0.000 3.624 3.624
3.624 0.000 3.624
3.624 3.624 0.000
ATOMIC_POSITIONS crystal
Na 0.250 0.250 0.250
Na 0.750 0.750 0.750
Te 0.000 0.000 0.000
```



Record 14
The following is a PBEsol calculation of an optimized crystal structure of NaTlTe2, from Alexandria via LeMat-Bulk. Values from VASP.

Summary:
theoretical density	6919	kg/m3
energy	-2.95	eV per atom
size of the total moment	0.00	μB per cell

```
&SYSTEM
  ibrav = 0, nat = 4, ntyp = 3
/
ATOMIC_SPECIES
Na 22.99 Na.upf
Tl 204.38 Tl.upf
Te 127.60 Te.upf
CELL_PARAMETERS angstrom
1.696 0.979 11.621
-1.696 0.979 11.621
0.000 -1.959 11.621
ATOMIC_POSITIONS crystal
Na 0.000 0.000 0.000
Tl 0.500 0.500 0.500
Te 0.404 0.404 0.404
Te 0.596 0.596 0.596
```



Record 15
The following is a PBEsol calculation of an optimized crystal structure of NaTl3Te, from Alexandria via LeMat-Bulk. Values from VASP.

Summary:
theoretical density	5389	kg/m3
energy	-2.29	eV per atom
size of the total moment	0.00	μB per cell

```
&SYSTEM
  ibrav = 0, nat = 5, ntyp = 3
/
ATOMIC_SPECIES
Na 22.99 Na.upf
Tl 204.38 Tl.upf
Te 127.60 Te.upf
CELL_PARAMETERS angstrom
6.174 0.000 0.000
0.000 6.174 0.000
0.000 0.000 6.174
ATOMIC_POSITIONS crystal
Na 0.000 0.000 0.000
Tl 0.000 0.500 0.500
Tl 0.500 0.000 0.500
Tl 0.500 0.500 0.000
Te 0.500 0.500 0.500
```



Record 16
The following is a PBEsol calculation of an optimized crystal structure of Na2TlTe2, from Alexandria via LeMat-Bulk. Values from VASP.

Summary:
theoretical density	5860	kg/m3
energy	-3.04	eV per atom
size of the total moment	0.00	μB per cell

```
&SYSTEM
  ibrav = 0, nat = 10, ntyp = 3
/
ATOMIC_SPECIES
Na 22.99 Na.upf
Tl 204.38 Tl.upf
Te 127.60 Te.upf
CELL_PARAMETERS angstrom
9.210 0.000 0.000
0.000 9.210 0.000
0.000 0.000 3.378
ATOMIC_POSITIONS crystal
Na 0.128 0.372 0.000
Na 0.372 0.872 0.000
Na 0.628 0.128 0.000
Na 0.872 0.628 0.000
Tl 0.000 0.000 0.500
Tl 0.500 0.500 0.500
Te 0.170 0.670 0.500
Te 0.330 0.170 0.500
Te 0.670 0.830 0.500
Te 0.830 0.330 0.500
```



Record 17
The following is a PBEsol calculation of an optimized crystal structure of NaTl2Te, from Alexandria via LeMat-Bulk. Values from VASP.

Summary:
theoretical density	7738	kg/m3
energy	-2.74	eV per atom
size of the total moment	0.00	μB per cell

```
&SYSTEM
  ibrav = 0, nat = 4, ntyp = 3
/
ATOMIC_SPECIES
Na 22.99 Na.upf
Tl 204.38 Tl.upf
Te 127.60 Te.upf
CELL_PARAMETERS angstrom
0.000 3.915 3.915
3.915 0.000 3.915
3.915 3.915 0.000
ATOMIC_POSITIONS crystal
Na 0.000 0.000 0.000
Tl 0.250 0.250 0.250
Tl 0.750 0.750 0.750
Te 0.500 0.500 0.500
```



Record 18
The following is a PBEsol calculation of an optimized crystal structure of NaY2Te2, from Alexandria via LeMat-Bulk. Values from VASP.

Summary:
theoretical density	5615	kg/m3
energy	-5.45	eV per atom
size of the total moment	0.00	μB per cell

```
&SYSTEM
  ibrav = 0, nat = 10, ntyp = 3
/
ATOMIC_SPECIES
Na 22.99 Na.upf
Y 88.91 Y.upf
Te 127.60 Te.upf
CELL_PARAMETERS angstrom
8.268 0.000 0.000
0.000 8.268 0.000
0.000 0.000 3.945
ATOMIC_POSITIONS crystal
Na 0.000 0.000 0.000
Na 0.500 0.500 0.000
Y 0.148 0.352 0.500
Y 0.352 0.852 0.500
Y 0.648 0.148 0.500
Y 0.852 0.648 0.500
Te 0.149 0.649 0.000
Te 0.351 0.149 0.000
Te 0.649 0.851 0.000
Te 0.851 0.351 0.000
```



Record 19
The following is a PBEsol calculation of an optimized crystal structure of Na3ZrTe, from Alexandria via LeMat-Bulk. Values from VASP.

Summary:
theoretical density	2527	kg/m3
energy	-2.79	eV per atom
size of the total moment	3.01	μB per cell

```
&SYSTEM
  ibrav = 0, nat = 5, ntyp = 3
/
ATOMIC_SPECIES
Na 22.99 Na.upf
Zr 91.22 Zr.upf
Te 127.60 Te.upf
CELL_PARAMETERS angstrom
5.740 0.000 0.000
0.000 5.740 0.000
0.000 0.000 5.740
ATOMIC_POSITIONS crystal
Na 0.000 0.000 0.500
Na 0.000 0.500 0.000
Na 0.500 0.000 0.000
Zr 0.500 0.500 0.500
Te 0.000 0.000 0.000
```



Record 20
The following is a PBEsol calculation of an optimized crystal structure of Na3TiTl, from Alexandria via LeMat-Bulk. Values from VASP.

Summary:
theoretical density	3004	kg/m3
formation energy	0.910	eV per atom
size of the total moment	2.96	μB per cell

```
&SYSTEM
  ibrav = 0, nat = 5, ntyp = 3
/
ATOMIC_SPECIES
Na 22.99 Na.upf
Ti 47.87 Ti.upf
Tl 204.38 Tl.upf
CELL_PARAMETERS angstrom
5.620 0.000 0.000
0.000 5.620 0.000
0.000 0.000 5.620
ATOMIC_POSITIONS crystal
Na 0.000 0.000 0.500
Na 0.000 0.500 0.000
Na 0.500 0.000 0.000
Ti 0.500 0.500 0.500
Tl 0.000 0.000 0.000
```